# BeBPb2 (GGA-PBE, relaxed)
# - polymorph energy (0 for the lowest one) (meV per atom) = 0.0
data_BeBPb2
_cell_length_a 5.949
_cell_length_b 5.949
_cell_length_c 10.335
_cell_angle_alpha 90.00
_cell_angle_beta 90.00
_cell_angle_gamma 90.00
_symmetry_space_group_name_H-M 'I -4 2 d'
_symmetry_Int_Tables_number 122
_symmetry_space_group_name_Hall 'I -4 2bw'
loop_
_atom_site_label
_atom_site_type_symbol
_atom_site_fract_x
_atom_site_fract_y
_atom_site_fract_z
Be1 Be 0.000 0.000 0.000
B1 B 0.000 0.000 0.500
Pb1 Pb 0.221 0.250 0.625

First-principles (GGA-PBE) data for Zn3Cu3Ni5 after structural relaxation, as listed in Alexandria.

The structure in CIF format:
```
data_Zn3Cu3Ni5
_cell_length_a 4.414
_cell_length_b 5.721
_cell_length_c 5.748
_cell_angle_alpha 107.81
_cell_angle_beta 104.97
_cell_angle_gamma 97.03
_symmetry_space_group_name_H-M 'P 1'
_symmetry_Int_Tables_number 1
loop_
_symmetry_equiv_pos_as_xyz
'x,y,z'
loop_
_atom_site_label
_atom_site_type_symbol
_atom_site_fract_x
_atom_site_fract_y
_atom_site_fract_z
Zn1 Zn 0.000 0.000 0.000
Zn2 Zn 0.096 0.801 0.390
Zn3 Zn 0.374 0.276 0.476
Cu1 Cu 0.549 0.902 0.194
Cu2 Cu 0.640 0.721 0.560
Cu3 Cu 0.739 0.536 0.930
Ni1 Ni 0.187 0.628 0.750
Ni2 Ni 0.282 0.447 0.102
Ni3 Ni 0.460 0.088 0.834
Ni4 Ni 0.821 0.353 0.286
Ni5 Ni 0.917 0.181 0.648
```

# Nd5Sm2Y4 (GGA-PBE, relaxed)
# - polymorph energy (0 for the lowest one) (meV per atom) = 0.0
data_Nd5Sm2Y4
_cell_length_a 23.865
_cell_length_b 3.630
_cell_length_c 8.897
_cell_angle_alpha 90.00
_cell_angle_beta 104.34
_cell_angle_gamma 90.00
_symmetry_space_group_name_H-M 'C 1 2/m 1'
_symmetry_Int_Tables_number 12
loop_
_symmetry_equiv_pos_as_xyz
'x,y,z'
'-x,-y,-z'
'-x,y,-z'
'x,-y,z'
'x+1/2,y+1/2,z'
'-x+1/2,-y+1/2,-z'
'-x+1/2,y+1/2,-z'
'x+1/2,-y+1/2,z'
loop_
_atom_site_label
_atom_site_type_symbol
_atom_site_fract_x
_atom_site_fract_y
_atom_site_fract_z
Nd1 Nd 0.000 0.000 0.000
Nd2 Nd 0.136 0.500 0.092
Nd3 Nd 0.227 0.500 0.815
Sm1 Sm 0.090 0.000 0.724
Y1 Y 0.046 0.500 0.365
Y2 Y 0.182 0.000 0.455

First-principles (GGA-PBE) data for RbScRh2C after structural relaxation, as listed in Alexandria.

The structure in CIF format:
```
data_RbScRh2C
_cell_length_a 4.875
_cell_length_b 4.875
_cell_length_c 4.509
_cell_angle_alpha 90.00
_cell_angle_beta 90.00
_cell_angle_gamma 90.00
_symmetry_space_group_name_H-M 'P 4/m m m'
_symmetry_Int_Tables_number 123
_symmetry_space_group_name_Hall '-P 4 2'
loop_
_atom_site_label
_atom_site_type_symbol
_atom_site_fract_x
_atom_site_fract_y
_atom_site_fract_z
Rb1 Rb 0.000 0.000 0.000
Sc1 Sc 0.500 0.500 0.500
Rh1 Rh 0.000 0.500 0.000
C1 C 0.000 0.000 0.500
```

# LaDyAu (GGA-PBE, relaxed)
# - polymorph energy (0 for the lowest one) (meV per atom) = 0.0
data_LaDyAu
_cell_length_a 8.202
_cell_length_b 4.951
_cell_length_c 8.528
_cell_angle_alpha 90.00
_cell_angle_beta 90.00
_cell_angle_gamma 90.00
_symmetry_space_group_name_H-M 'P n m a'
_symmetry_Int_Tables_number 62
loop_
_symmetry_equiv_pos_as_xyz
'x,y,z'
'-x,-y,-z'
'-x+1/2,-y,z+1/2'
'x+1/2,y,-z+1/2'
'x+1/2,-y+1/2,-z+1/2'
'-x+1/2,y+1/2,z+1/2'
'-x,y+1/2,-z'
'x,-y+1/2,z'
loop_
_atom_site_label
_atom_site_type_symbol
_atom_site_fract_x
_atom_site_fract_y
_atom_site_fract_z
La1 La 0.037 0.250 0.160
Dy1 Dy 0.142 0.250 0.579
Au1 Au 0.214 0.750 0.393

First-principles (GGA-PBE) data for PmU4 after structural relaxation, as listed in Alexandria.

The structure in CIF format:
```
data_PmU4
_cell_length_a 5.342
_cell_length_b 5.342
_cell_length_c 5.342
_cell_angle_alpha 90.00
_cell_angle_beta 90.00
_cell_angle_gamma 90.00
_symmetry_space_group_name_H-M 'P m -3 m'
_symmetry_Int_Tables_number 221
_symmetry_space_group_name_Hall '-P 4 2 3'
loop_
_atom_site_label
_atom_site_type_symbol
_atom_site_fract_x
_atom_site_fract_y
_atom_site_fract_z
Pm1 Pm 0.000 0.000 0.000
U1 U 0.000 0.000 0.500
U2 U 0.500 0.500 0.500
```

no.,formation energy (eV per atom)
1,0.99
2,-0.09
3,0.02
4,2.47
5,-0.59
6,1.87